No. 1
# MgCd4In, PBEsol geometry, DFT SCAN
data_MgCd4In
_cell_length_a 5.780
_cell_length_b 5.780
_cell_length_c 5.780
_cell_angle_alpha 60.00
_cell_angle_beta 60.00
_cell_angle_gamma 60.00
_space_group_name_H-M_alt 'P 1'
_space_group_IT_number 1
_space_group_name_Hall 'P 1'
loop_
_atom_site_label
_atom_site_fract_x
_atom_site_fract_y
_atom_site_fract_z
Mg1 0.000 0.000 0.000
Cd1 0.375 0.375 0.375
Cd2 0.375 0.375 0.876
Cd3 0.375 0.876 0.375
Cd4 0.876 0.375 0.375
In1 0.750 0.750 0.750
# total energy: -26.6288 eV per atom
# symmetry: F-43m, No. 216
# crystal system: cubic
# energy relative to the elements: 0.25 eV/f.u.

***

No. 2
# CdGaPS2, PBEsol geometry, DFT SCAN
data_CdGaPS2
_cell_length_a 4.678
_cell_length_b 4.678
_cell_length_c 4.632
_cell_angle_alpha 90.00
_cell_angle_beta 90.00
_cell_angle_gamma 90.00
_space_group_name_H-M_alt 'P 1'
_space_group_IT_number 1
_space_group_name_Hall 'P 1'
loop_
_atom_site_label
_atom_site_fract_x
_atom_site_fract_y
_atom_site_fract_z
Cd1 0.000 0.000 0.000
Ga1 0.500 0.500 0.500
P1 0.500 0.500 0.000
S1 0.000 0.500 0.500
S2 0.500 0.000 0.500
# total energy: -14.7992 eV per atom
# symmetry: P4/mmm, No. 123
# uncorrected formation energy: 0.484 eV per atom
# crystal system: tetragonal

***

Result set for total magnetic moment: 0.000, 0.003 μB/f.u., one per record in the order listed.